The following is a GGA-PBE calculation of BaCu6Si2 after structural relaxation, from Alexandria via LeMat-Bulk.

Calculated values
Fermi-level density of states, states/eV/f.u.: 2.42
Uncorrected formation energy, eV per atom: -0.116
ρ, g cm⁻³: 6.54
SG: No. 123
Raw total energy, eV per atom: -4.265
M_tot, μB per cell: 0.000

Lattice parameters (Å, degrees): 4.3129 4.3129 7.8499 90.00 90.00 90.00
With the nearest neighbours (Å) after each atom.
Element x y z (fractional)
Ba1 0.0000 0.0000 0.0000  8 Cu 3.35, 8 Si 3.38
Cu1 0.0000 0.0000 0.5000  8 Cu 2.55
Cu2 0.0000 0.5000 0.3262  2 Si 2.42, 4 Cu 2.55
Cu3 0.0000 0.5000 0.6738  2 Si 2.42, 4 Cu 2.55
Cu4 0.5000 0.0000 0.3262  2 Si 2.42, 4 Cu 2.55
Cu5 0.5000 0.0000 0.6738  2 Si 2.42, 4 Cu 2.55
Cu6 0.5000 0.5000 0.5000  2 Si 2.47, 8 Cu 2.55
Si1 0.5000 0.5000 0.1852  5 Cu 2.42-2.47
Si2 0.5000 0.5000 0.8148  5 Cu 2.42-2.47